Entry from Alexandria via LeMat-Bulk: a geometry-optimized CdIn2Pd4 structure (GGA-PBE).

Computed properties:
total energy	-29.56	eV/cell
spin magnetization	0.00	μB/f.u.
SG	I4/mmm

Cell: 5.6341 5.6341 5.6341 Å, 96.43 116.36 116.36°
Positions (direct):
Pd 0.0000 0.0000 0.5000
Pd 0.0000 0.5000 0.0000
Pd 0.5000 0.0000 0.0000
Pd 0.5000 0.5000 0.5000
In 0.5000 0.0000 0.5000
In 0.5000 0.5000 0.0000
Cd 0.0000 0.0000 0.0000